No. 1
# MgBIr3

An optimized crystal structure of MgBIr3 (PBE-GGA, the Alexandria database).

Cell lengths 5.603, 5.603, 6.116 Å; angles 117.31, 117.31, 60.02 degrees
Fractional positions:
Mg (0.100, 0.100, 0.301)
Mg (0.900, 0.900, 0.699)
B (0.329, 0.329, 0.988)
B (0.671, 0.671, 0.012)
Ir (0.099, 0.586, 0.272)
Ir (0.413, 0.413, 0.729)
Ir (0.414, 0.901, 0.728)
Ir (0.586, 0.099, 0.272)
Ir (0.587, 0.587, 0.271)
Ir (0.901, 0.414, 0.728)

Computed properties:
As for the energy relative to the elements: -0.302 eV per atom. The magnetic moment is 0.00 μB/f.u.

No. 2
# MgBIr

An optimized crystal structure of MgBIr (PBE-GGA, the Alexandria database).

Cell lengths 6.381, 5.448, 4.770 Å; angles 90.00, 101.54, 90.00 degrees
Fractional positions:
Mg (0.000, 0.247, 0.000)
Mg (0.000, 0.753, 0.000)
Mg (0.500, 0.253, 0.000)
Mg (0.500, 0.747, 0.000)
B (0.000, 0.325, 0.500)
B (0.000, 0.675, 0.500)
B (0.500, 0.175, 0.500)
B (0.500, 0.825, 0.500)
Ir (0.214, 0.000, 0.581)
Ir (0.286, 0.500, 0.419)
Ir (0.714, 0.500, 0.581)
Ir (0.786, 0.000, 0.419)

Computed properties:
The calculation puts the polymorph energy (0 for the lowest one) at 87 meV/atom. As for the energy relative to the elements: -0.360 eV per atom. The magnetic moment is 0.00 μB/f.u.

No. 3
# Mg3B3Ir5

An optimized crystal structure of Mg3B3Ir5 (PBE-GGA, the Alexandria database).

Cell lengths 6.685, 6.685, 4.495 Å; angles 90.00, 90.00, 120.00 degrees
Fractional positions:
Mg (0.000, 0.704, 0.000)
Mg (0.296, 0.296, 0.000)
Mg (0.704, 0.000, 0.000)
B (0.000, 0.609, 0.500)
B (0.391, 0.391, 0.500)
B (0.609, 0.000, 0.500)
Ir (0.000, 0.230, 0.500)
Ir (0.230, 0.000, 0.500)
Ir (0.333, 0.667, 0.500)
Ir (0.667, 0.333, 0.500)
Ir (0.770, 0.770, 0.500)

Computed properties:
As for the energy relative to the elements: -0.099 eV per atom. The magnetic moment is 0.00 μB/f.u.